Record 1
# SiAs4Rh, PBEsol geometry, DFT SCAN
data_SiAs4Rh
_cell_length_a 7.5584
_cell_length_b 7.5584
_cell_length_c 7.5584
_cell_angle_alpha 90.00
_cell_angle_beta 90.00
_cell_angle_gamma 90.00
_symmetry_space_group_name_H-M 'F -4 3 m'
_symmetry_Int_Tables_number 216
_symmetry_space_group_name_Hall 'F -4 2 3'
loop_
_atom_site_label
_atom_site_type_symbol
_atom_site_fract_x
_atom_site_fract_y
_atom_site_fract_z
Si1 Si 0.0000 0.0000 0.0000
As1 As 0.1258 0.1258 0.3742
Rh1 Rh 0.2500 0.2500 0.7500
# crystal system	cubic
# E_form (uncorrected)	0.808	eV/atom
# calculated total energy	-19.951	eV per atom


Record 2
# SnAsRh3, PBEsol geometry, DFT SCAN
data_SnAsRh3
_cell_length_a 4.7531
_cell_length_b 4.7531
_cell_length_c 4.7531
_cell_angle_alpha 90.00
_cell_angle_beta 90.00
_cell_angle_gamma 90.00
_symmetry_space_group_name_H-M 'P m -3 m'
_symmetry_Int_Tables_number 221
_symmetry_space_group_name_Hall '-P 4 2 3'
loop_
_atom_site_label
_atom_site_type_symbol
_atom_site_fract_x
_atom_site_fract_y
_atom_site_fract_z
Sn1 Sn 0.0000 0.0000 0.0000
As1 As 0.5000 0.5000 0.5000
Rh1 Rh 0.0000 0.0000 0.5000
# crystal system	cubic
# calculated total energy	-30.189	eV per atom
# formation energy from the elements	1.2966	eV per atom


Record 3
# SrAs4Rh6, PBEsol geometry, DFT SCAN
data_SrAs4Rh6
_cell_length_a 7.1902
_cell_length_b 7.1902
_cell_length_c 3.8158
_cell_angle_alpha 90.00
_cell_angle_beta 90.00
_cell_angle_gamma 120.00
_symmetry_space_group_name_H-M 'P -6 m 2'
_symmetry_Int_Tables_number 187
_symmetry_space_group_name_Hall 'P -6 2'
loop_
_atom_site_label
_atom_site_type_symbol
_atom_site_fract_x
_atom_site_fract_y
_atom_site_fract_z
Sr1 Sr 0.0000 0.0000 0.0000
As1 As 0.1912 0.3825 0.5000
As2 As 0.6667 0.3333 0.0000
Rh1 Rh 0.0696 0.5348 0.0000
Rh2 Rh 0.4047 0.2024 0.5000
# crystal system	hexagonal
# calculated total energy	-28.539	eV per atom
# formation energy from the elements	-0.7511	eV per atom


no.,theoretical density (Mg/m³)
1,6.625
2,7.768
3,9.766